Material: ReAs2Cl
Method: DFT, PBE-GGA
State: relaxed

extended XYZ file:
```
4
Lattice="1.5607 0.9011 9.0575 -1.5607 0.9011 9.0575 0.0000 -1.8022 9.0575" Properties=species:S:1:pos:R:3 pbc="T T T"
Re 0.0000 0.0000 0.0000
As 0.0000 0.0000 12.9963
As 0.0000 0.0000 19.8324
Cl 0.0000 0.0000 7.1801
```

Its uncorrected formation energy is 319 meV per atom. For the volume, the calculation gives 19.107 A^3/atom. The distance to the lowest polymorph of the same formula comes out at 0.263 eV per atom.

Material: Li2TaAu
Method: DFT, PBE-GGA
State: relaxed

extended XYZ file:
```
4
Lattice="-1.9203 1.9203 4.6545 1.9203 -1.9203 4.6545 1.9203 1.9203 -4.6545" Properties=species:S:1:pos:R:3 pbc="T T T"
Li 1.9203 0.0000 2.3273
Li 0.0000 1.9203 2.3273
Ta 0.0000 0.0000 0.0000
Au 0.0000 0.0000 4.6545
```

For the formation enthalpy at 0 K, the calculation gives 1.14 eV/f.u. For the volume, the calculation gives 17.163 A^3/atom. The distance to the lowest polymorph of the same formula comes out at 0.276 eV per atom.

Material: CoNi2Mo
Method: DFT, PBE-GGA
State: relaxed

extended XYZ file:
```
4
Lattice="2.5809 0.0000 0.0000 0.0000 2.5809 0.0000 0.0000 0.0000 7.3299" Properties=species:S:1:pos:R:3 pbc="T T T"
Co 0.0000 0.0000 0.0000
Ni 1.2905 1.2905 1.6925
Ni 1.2905 1.2905 5.6374
Mo 0.0000 0.0000 3.6649
```

For the formation enthalpy at 0 K, the calculation gives 0.20 eV/f.u. For the volume, the calculation gives 12.207 A^3/atom. The distance to the lowest polymorph of the same formula comes out at 0.102 eV per atom.